Co2ClO | PBE+U | relaxed

Cell: 4.091 4.091 4.091 Å, 60.00 60.00 60.00°
Last column: magnetic moment on the atom in μB.
Fractional positions:
Co  0.250  0.250  0.250  2.31
Co  0.750  0.750  0.750  2.31
O  0.000  0.000  0.000  0.26
Cl  0.500  0.500  0.500  0.12

For the density of states at the Fermi level, the calculation gives 2.70 states/eV per cell. As for the total energy: -4.081 eV/atom. As for the density: 5.81 g cm⁻³. Its crystal system is cubic. As for the space group: Fm-3m.